No. 1
# Pm5CdIn6

A relaxed Pm5CdIn6 crystal (PBE-GGA, the Alexandria database).

The structure belongs to space group Immm (No. 71); the cell edges are 4.9086, 9.0276 and 15.0292 Å and the angles 90.00°, 90.00° and 90.00°. The asymmetric unit holds Pm at (0.0000, 0.0000, 0.0000), Pm at (0.0000, 0.0000, 0.3495), Pm at (0.0000, 0.5000, 0.3308), Cd at (0.0000, 0.5000, 0.0000), In at (0.0000, 0.2481, 0.1700) and In at (0.0000, 0.2541, 0.5000).

The value obtained for the total energy is -3.85 eV per atom. The formation energy comes out at -496 kJ/mol of formula units. The calculation puts the magnetic moment at 0.00 μB per formula unit.

No. 2
# Li2SiPbSe4

A relaxed Li2SiPbSe4 crystal (PBE-GGA, the Alexandria database).

The structure belongs to space group Imma (No. 74); the cell edges are 7.7202, 8.0468 and 11.2903 Å and the angles 90.00°, 90.00° and 90.00°. The asymmetric unit holds Li at (0.0000, 0.0000, 0.0000), Li at (0.2500, 0.2500, 0.2500), Si at (0.2500, 0.2500, 0.7500), Pb at (0.0000, 0.0000, 0.5000), Se at (0.0000, 0.0254, 0.7608) and Se at (0.2239, 0.2500, 0.9758).

The value obtained for the total energy is -3.93 eV per atom. The value obtained for the formation energy from raw total energies is -570 meV per atom. The calculation puts the magnetic moment at 0.00 μB per formula unit.

No. 3
# AlRh2

A relaxed AlRh2 crystal (PBE-GGA, the Alexandria database).

The structure belongs to space group I4_1/amd (No. 141, origin choice 2); the cell edges are 2.8906, 2.8906 and 20.9448 Å and the angles 90.00°, 90.00° and 90.00°. The asymmetric unit holds Al at (0.0000, 0.2500, 0.3750) and Rh at (0.0000, 0.2500, 0.8032).

The value obtained for the total energy is -6.65 eV per atom. The formation energy comes out at -144 kJ/mol of formula units. The calculation puts the magnetic moment at 0.00 μB per formula unit.

No. 4
# LaTb2HoSe6

A relaxed LaTb2HoSe6 crystal (PBE-GGA, the Alexandria database).

The structure belongs to space group R3 (No. 146, hexagonal axes); the cell edges are 7.3320, 7.3320 and 19.5362 Å and the angles 90.00°, 90.00° and 120.00°. The asymmetric unit holds La at (0.0000, 0.0000, 0.0000), Tb at (0.0000, 0.0000, 0.2935), Tb at (0.0000, 0.0000, 0.7983), Ho at (0.0000, 0.0000, 0.4922), Se at (0.0238, 0.7177, 0.3937) and Se at (0.0260, 0.3581, 0.5599).

The value obtained for the total energy is -5.85 eV per atom. The value obtained for the formation energy from raw total energies is -1881 meV per atom. The calculation puts the magnetic moment at 0.00 μB per formula unit.

No. 5
# KI2BrN

A relaxed KI2BrN crystal (PBE-GGA, the Alexandria database).

The structure belongs to space group P4/mmm (No. 123); the cell edges are 6.6511, 6.6511 and 5.5692 Å and the angles 90.00°, 90.00° and 90.00°. The asymmetric unit holds K at (0.0000, 0.0000, 0.0000), I at (0.0000, 0.5000, 0.0000), Br at (0.5000, 0.5000, 0.5000) and N at (0.0000, 0.0000, 0.5000).

Its offset from the most stable computed form is 444 meV per atom. The value obtained for the total energy is -1.95 eV per atom. The value obtained for the formation energy from raw total energies is 885 meV per atom. The calculation puts the magnetic moment at 5.02 μB per formula unit.

No. 6
# Ce2DySb

A relaxed Ce2DySb crystal (PBE-GGA, the Alexandria database).

The structure belongs to space group P4/mmm (No. 123); the cell edges are 4.5658, 4.5658 and 5.1056 Å and the angles 90.00°, 90.00° and 90.00°. The asymmetric unit holds Ce at (0.0000, 0.5000, 0.0000), Dy at (0.0000, 0.0000, 0.5000) and Sb at (0.5000, 0.5000, 0.5000).

Its offset from the most stable computed form is 56 meV per atom. The value obtained for the total energy is -5.67 eV per atom. The value obtained for the formation energy from raw total energies is -523 meV per atom. The calculation puts the magnetic moment at 0.95 μB per formula unit.

No. 7
# LaSbIN2

A relaxed LaSbIN2 crystal (PBE-GGA, the Alexandria database).

The structure belongs to space group P4/mmm (No. 123); the cell edges are 4.3622, 4.3622 and 5.7800 Å and the angles 90.00°, 90.00° and 90.00°. The asymmetric unit holds La at (0.0000, 0.0000, 0.0000), Sb at (0.5000, 0.5000, 0.5000), I at (0.5000, 0.5000, 0.0000) and N at (0.0000, 0.5000, 0.5000).

Its offset from the most stable computed form is 0 meV per atom. The value obtained for the total energy is -4.79 eV per atom. The value obtained for the formation energy from raw total energies is 663 meV per atom. The calculation puts the magnetic moment at 0.01 μB per formula unit.

No. 8
# PuGa2Sb

A relaxed PuGa2Sb crystal (PBE-GGA, the Alexandria database).

The structure belongs to space group P4/mmm (No. 123); the cell edges are 4.4284, 4.4284 and 4.4303 Å and the angles 90.00°, 90.00° and 90.00°. The asymmetric unit holds Pu at (0.0000, 0.0000, 0.0000), Ga at (0.0000, 0.5000, 0.5000) and Sb at (0.5000, 0.5000, 0.0000).

Its offset from the most stable computed form is 0 meV per atom. The value obtained for the total energy is -6.55 eV per atom. The value obtained for the formation energy from raw total energies is -421 meV per atom. The calculation puts the magnetic moment at 5.23 μB per formula unit.

No. 9
# ReAuS2Cl

A relaxed ReAuS2Cl crystal (PBE-GGA, the Alexandria database).

The structure belongs to space group P4/mmm (No. 123); the cell edges are 4.5338, 4.5338 and 5.1413 Å and the angles 90.00°, 90.00° and 90.00°. The asymmetric unit holds Re at (0.0000, 0.0000, 0.0000), Au at (0.5000, 0.5000, 0.5000), S at (0.0000, 0.5000, 0.0000) and Cl at (0.0000, 0.0000, 0.5000).

Its offset from the most stable computed form is 0 meV per atom. The value obtained for the total energy is -4.73 eV per atom. The value obtained for the formation energy from raw total energies is 438 meV per atom. The calculation puts the magnetic moment at 0.00 μB per formula unit.

No. 10
# La4Tb4Sm

A relaxed La4Tb4Sm crystal (PBE-GGA, the Alexandria database).

The structure belongs to space group I4/mmm (No. 139); the cell edges are 10.9333, 10.9333 and 5.1807 Å and the angles 90.00°, 90.00° and 90.00°. The asymmetric unit holds La at (0.1671, 0.1671, 0.0000), Tb at (0.0000, 0.3364, 0.5000) and Sm at (0.0000, 0.0000, 0.5000).

The value obtained for the total energy is -4.75 eV per atom. The formation energy comes out at 22 kJ/mol of formula units. The calculation puts the magnetic moment at 0.00 μB per formula unit.

No. 11
# LaCd3Pd

A relaxed LaCd3Pd crystal (PBE-GGA, the Alexandria database).

The structure belongs to space group P2_1/m (No. 11); the cell edges are 5.6324, 5.9862 and 6.9670 Å and the angles 90.00°, 91.17° and 90.00°. The asymmetric unit holds La at (0.1489, 0.2500, 0.3649), Cd at (0.0982, 0.7500, 0.1114), Cd at (0.3635, 0.0068, 0.8086) and Pd at (0.3414, 0.7500, 0.4647).

Its offset from the most stable computed form is 0 meV per atom. The value obtained for the total energy is -3.03 eV per atom. The formation energy comes out at -221 kJ/mol of formula units. The calculation puts the magnetic moment at 0.00 μB per formula unit.

No. 12
# TaOsAu2

A relaxed TaOsAu2 crystal (PBE-GGA, the Alexandria database).

The structure belongs to space group Imm2 (No. 44); the cell edges are 4.0616, 4.0905 and 8.0064 Å and the angles 90.00°, 90.00° and 90.00°. The asymmetric unit holds Ta at (0.0000, 0.0000, 0.0000), Os at (0.0000, 0.5000, 0.7462), Au at (0.0000, 0.0000, 0.4976) and Au at (0.0000, 0.5000, 0.2484).

Its offset from the most stable computed form is 51 meV per atom. The value obtained for the total energy is -7.32 eV per atom. The formation energy comes out at 34 kJ/mol of formula units. The calculation puts the magnetic moment at 0.00 μB per formula unit.

No. 13
# LiGa2Pt2

A relaxed LiGa2Pt2 crystal (PBE-GGA, the Alexandria database).

The structure belongs to space group I4/mmm (No. 139); the cell edges are 4.0543, 4.0543 and 10.8924 Å and the angles 90.00°, 90.00° and 90.00°. The asymmetric unit holds Li at (0.0000, 0.0000, 0.0000), Ga at (0.0000, 0.0000, 0.3870) and Pt at (0.0000, 0.5000, 0.2500).

Its offset from the most stable computed form is 138 meV per atom. The value obtained for the total energy is -4.56 eV per atom. The formation energy comes out at -264 kJ/mol of formula units. The calculation puts the magnetic moment at 0.00 μB per formula unit.

No. 14
# LiCa2Cd

A relaxed LiCa2Cd crystal (PBE-GGA, the Alexandria database).

The structure belongs to space group P4/mmm (No. 123); the cell edges are 5.4787, 5.4787 and 3.8808 Å and the angles 90.00°, 90.00° and 90.00°. The asymmetric unit holds Li at (0.0000, 0.0000, 0.0000), Ca at (0.0000, 0.5000, 0.5000) and Cd at (0.5000, 0.5000, 0.0000).

Its offset from the most stable computed form is 8 meV per atom. The value obtained for the total energy is -1.89 eV per atom. The formation energy comes out at -71 kJ/mol of formula units. The calculation puts the magnetic moment at 0.00 μB per formula unit.

No. 15
# Mo2PRu

A relaxed Mo2PRu crystal (PBE-GGA, the Alexandria database).

The structure belongs to space group Amm2 (No. 38); the cell edges are 3.8198, 2.8929 and 10.4738 Å and the angles 90.00°, 90.00° and 90.00°. The asymmetric unit holds Mo at (0.0000, 0.0000, 0.0000), Mo at (0.5000, 0.0000, 0.3481), P at (0.5000, 0.0000, 0.5917) and Ru at (0.0000, 0.0000, 0.7291).

The value obtained for the total energy is -9.24 eV per atom. The formation energy comes out at -59 kJ/mol of formula units. The calculation puts the magnetic moment at 0.00 μB per formula unit.

No. 16
# AcThTeSe2

A relaxed AcThTeSe2 crystal (PBE-GGA, the Alexandria database).

The structure belongs to space group I4mm (No. 107); the cell edges are 4.8093, 4.8093 and 14.5440 Å and the angles 90.00°, 90.00° and 90.00°. The asymmetric unit holds Ac at (0.0000, 0.0000, 0.0000), Th at (0.0000, 0.0000, 0.7371), Te at (0.0000, 0.0000, 0.3681) and Se at (0.0000, 0.5000, 0.1293).

The value obtained for the total energy is -5.71 eV per atom. The value obtained for the formation energy from raw total energies is -1383 meV per atom. The calculation puts the magnetic moment at 1.00 μB per formula unit.

No. 17
# Li5HgPd3

A relaxed Li5HgPd3 crystal (PBE-GGA, the Alexandria database).

The structure belongs to space group I4/mcm (No. 140); the cell edges are 6.1018, 6.1018 and 15.7416 Å and the angles 90.00°, 90.00° and 90.00°. The asymmetric unit holds Li at (0.0000, 0.0000, 0.0000), Li at (0.2151, 0.2849, 0.1349), Hg at (0.0000, 0.5000, 0.2500), Pd at (0.0000, 0.0000, 0.2500) and Pd at (0.1470, 0.3530, 0.5000).

Its offset from the most stable computed form is 9 meV per atom. The value obtained for the total energy is -3.06 eV per atom. The formation energy comes out at -201 kJ/mol of formula units. The calculation puts the magnetic moment at 0.00 μB per formula unit.

No. 18
# Pr4AsSeS2

A relaxed Pr4AsSeS2 crystal (PBE-GGA, the Alexandria database).

The structure belongs to space group P2/m (No. 10); the cell edges are 7.2578, 4.1906 and 7.3001 Å and the angles 90.00°, 109.29° and 90.00°. The asymmetric unit holds Pr at (0.2367, 0.0000, 0.2379), Pr at (0.2423, 0.5000, 0.7545), As at (0.5000, 0.0000, 0.0000), Se at (0.5000, 0.5000, 0.5000), S at (0.0000, 0.0000, 0.5000) and S at (0.0000, 0.5000, 0.0000).

The value obtained for the total energy is -6.31 eV per atom. The value obtained for the formation energy from raw total energies is -1869 meV per atom. The calculation puts the magnetic moment at 0.00 μB per formula unit.

No. 19
# AlCu2Mo

A relaxed AlCu2Mo crystal (PBE-GGA, the Alexandria database).

The structure belongs to space group P4mm (No. 99); the cell edges are 2.7692, 2.7692 and 7.0696 Å and the angles 90.00°, 90.00° and 90.00°. The asymmetric unit holds Al at (0.0000, 0.0000, 0.0000), Cu at (0.0000, 0.0000, 0.4598), Cu at (0.5000, 0.5000, 0.2336) and Mo at (0.5000, 0.5000, 0.7207).

The value obtained for the total energy is -5.74 eV per atom. The formation energy comes out at -19 kJ/mol of formula units. The calculation puts the magnetic moment at 0.00 μB per formula unit.

No. 20
# IrRhAuI

A relaxed IrRhAuI crystal (PBE-GGA, the Alexandria database).

The structure belongs to space group Pm (No. 6); the cell edges are 5.0486, 2.9955 and 5.3714 Å and the angles 90.00°, 109.44° and 90.00°. The asymmetric unit holds Ir at (0.0000, 0.0000, 0.0000), Rh at (0.2795, 0.5000, 0.4176), Au at (0.8029, 0.0000, 0.4500) and I at (0.4499, 0.0000, 0.8616).

Its offset from the most stable computed form is 183 meV per atom. The value obtained for the total energy is -4.60 eV per atom. The value obtained for the formation energy from raw total energies is 662 meV per atom. The calculation puts the magnetic moment at 0.00 μB per formula unit.